4
Lattice="4.349 0.000 0.000 0.000 2.799 -0.017 0.000 1.076 5.072" Properties=species:S:1:pos:R:3 comment="LiZrOs2, optimized geometry, DFT GGA-PBE" formation_energy_ev_per_atom=0.0764 space_group=Pm dft_energy_ev_per_atom=-8.154 pbc="T T T"
Os 0.000 2.552 0.111
Os 2.174 0.967 1.012
Zr 0.000 1.882 2.686
Li 2.174 3.212 3.757